# LiLaGdAl (PBE, relaxed)
data_LiLaGdAl
_symmetry_space_group_name_H-M 'F -4 3 m'
_symmetry_Int_Tables_number 216
_symmetry_space_group_name_Hall 'F -4 2 3'
_cell_length_a 7.5004
_cell_length_b 7.5004
_cell_length_c 7.5004
_cell_angle_alpha 90.00
_cell_angle_beta 90.00
_cell_angle_gamma 90.00
loop_
_atom_site_label
_atom_site_fract_x
_atom_site_fract_y
_atom_site_fract_z
_atom_site_occupancy
Li1 0.0000 0.0000 0.0000 1
La1 0.2500 0.2500 0.2500 1
Gd1 0.2500 0.2500 0.7500 1
Al1 0.0000 0.0000 0.5000 1
# ρ in g cm⁻³: 5.20
# Energy of formation in meV per atom: -198
# DOS at the Fermi energy in states/eV per cell: 13.37
# Total energy in eV/f.u.: -25.46

***

# Be17FeCo (PBE, relaxed)
data_Be17FeCo
_symmetry_space_group_name_H-M 'R 3 m'
_symmetry_Int_Tables_number 160
_symmetry_space_group_name_Hall 'R 3 -2"'
_cell_length_a 7.0949
_cell_length_b 7.0949
_cell_length_c 10.5302
_cell_angle_alpha 90.00
_cell_angle_beta 90.00
_cell_angle_gamma 120.00
loop_
_atom_site_label
_atom_site_fract_x
_atom_site_fract_y
_atom_site_fract_z
_atom_site_occupancy
Be1 0.0000 0.0000 0.0521 1
Be2 0.0000 0.0000 0.2577 1
Be3 0.9999 0.3112 0.1551 1
Be4 0.0076 0.5038 0.3094 1
Be5 0.1681 0.3363 0.9896 1
Be6 0.1701 0.3402 0.3333 1
Fe1 0.0000 0.0000 0.4874 1
Co1 0.0000 0.0000 0.8197 1
# ρ in g cm⁻³: 2.91
# Energy of formation in meV per atom: -76
# DOS at the Fermi energy in states/eV per cell: 8.50
# Total energy in eV/f.u.: -80.36

***

# Ac2TmAg3 (PBE, relaxed)
data_Ac2TmAg3
_symmetry_space_group_name_H-M 'P 4/m m m'
_symmetry_Int_Tables_number 123
_symmetry_space_group_name_Hall '-P 4 2'
_cell_length_a 3.8149
_cell_length_b 3.8149
_cell_length_c 11.6185
_cell_angle_alpha 90.00
_cell_angle_beta 90.00
_cell_angle_gamma 90.00
loop_
_atom_site_label
_atom_site_fract_x
_atom_site_fract_y
_atom_site_fract_z
_atom_site_occupancy
Ac1 0.0000 0.0000 0.1772 1
Tm1 0.0000 0.0000 0.5000 1
Ag1 0.5000 0.5000 0.0000 1
Ag2 0.5000 0.5000 0.3646 1
# ρ in g cm⁻³: 9.30
# Energy of formation in meV per atom: -268
# DOS at the Fermi energy in states/eV per cell: 3.34
# Total energy in eV/f.u.: -22.85

***

# KRh2W (PBE, relaxed)
data_KRh2W
_symmetry_space_group_name_H-M 'I m m m'
_symmetry_Int_Tables_number 71
_symmetry_space_group_name_Hall '-I 2 2'
_cell_length_a 3.1943
_cell_length_b 5.7388
_cell_length_c 9.3344
_cell_angle_alpha 90.00
_cell_angle_beta 90.00
_cell_angle_gamma 90.00
loop_
_atom_site_label
_atom_site_fract_x
_atom_site_fract_y
_atom_site_fract_z
_atom_site_occupancy
K1 0.0000 0.0000 0.0000 1
Rh1 0.0000 0.5000 0.1958 1
W1 0.0000 0.0000 0.5000 1
# ρ in g cm⁻³: 8.32
# Energy of formation in meV per atom: 863
# Polymorph energy (0 for the lowest one) in kcal/mol of atoms: 14.42
# DOS at the Fermi energy in states/eV per cell: 5.24
# Total energy in eV/f.u.: -25.30